1.
Material: Ba6AgIr
Method: DFT, PBE
State: relaxed

Properties
- SG = No. 163
- uncorrected energy (eV/atom) = -3.0608
- size of the total moment (μB/f.u.) = 0.00
- D(E_F) (states/eV per atom) = 1.04
- E_form (eV/atom) = -0.1547

The structure in extended XYZ format:
```
16
Lattice="-7.576 1.677 -1.828 1.766 -6.735 3.881 -1.610 7.259 13.330" Properties=species:S:1:pos:R:3 pbc="T T T"
Ir 0.000 0.000 0.000
Ir -0.805 3.630 6.665
Ba -2.458 1.193 5.726
Ba -0.461 2.363 9.463
Ba -7.189 0.421 0.969
Ba -5.813 3.902 3.845
Ba -4.186 -2.595 2.974
Ba -3.233 4.796 12.409
Ba -2.581 1.367 1.010
Ba -4.962 1.008 9.657
Ba -4.838 0.834 14.373
Ba -6.959 -0.162 5.920
Ba -0.230 1.780 14.414
Ba -1.606 -1.701 11.537
Ag -5.669 4.317 10.072
Ag -1.750 -2.116 5.310
```

2.
Material: BaAg2Ir
Method: DFT, PBE
State: relaxed

Properties
- SG = No. 123
- energy above the most stable polymorph in this dataset (eV per formula unit) = 1.34
- uncorrected energy (eV/atom) = -3.7103
- size of the total moment (μB/f.u.) = 0.00
- D(E_F) (states/eV per atom) = 0.92
- E_form (eV/atom) = 0.4113

The structure in extended XYZ format:
```
4
Lattice="3.604 0.002 0.000 -0.002 3.604 0.000 0.000 0.000 7.068" Properties=species:S:1:pos:R:3 pbc="T T T"
Ag 0.000 0.000 3.972
Ag 0.000 0.000 6.630
Ba 1.801 1.803 1.767
Ir 1.801 1.803 5.301
```

3.
Material: BaAg2Ir
Method: DFT, PBE
State: relaxed

Properties
- SG = No. 8
- energy above the most stable polymorph in this dataset (eV per formula unit) = 0.00
- uncorrected energy (eV/atom) = -4.0457
- size of the total moment (μB/f.u.) = 0.00
- D(E_F) (states/eV per atom) = 0.43
- E_form (eV/atom) = 0.0759

The structure in extended XYZ format:
```
4
Lattice="-3.781 2.804 -0.348 -3.663 -0.607 2.915 -0.236 4.231 4.433" Properties=species:S:1:pos:R:3 pbc="T T T"
Ba -3.824 3.237 3.523
Ag -0.318 4.104 4.303
Ag -2.298 1.017 1.146
Ir -5.314 5.516 5.961
```

4.
Material: BaAg2Ir
Method: DFT, PBE
State: relaxed

Properties
- SG = No. 225
- energy above the most stable polymorph in this dataset (eV per formula unit) = 1.30
- uncorrected energy (eV/atom) = -3.7204
- size of the total moment (μB/f.u.) = 0.00
- D(E_F) (states/eV per atom) = 0.71
- E_form (eV/atom) = 0.4012

The structure in extended XYZ format:
```
4
Lattice="0.000 3.583 3.583 3.583 0.000 3.583 3.583 3.583 0.000" Properties=species:S:1:pos:R:3 pbc="T T T"
Ba 0.000 0.000 0.000
Ag 1.792 1.792 1.792
Ag 5.375 5.375 5.375
Ir 3.583 3.583 3.583
```

5.
Material: BaAg2Ir
Method: DFT, PBE
State: relaxed

Properties
- SG = No. 71
- energy above the most stable polymorph in this dataset (eV per formula unit) = 0.81
- uncorrected energy (eV/atom) = -3.8434
- size of the total moment (μB/f.u.) = 0.00
- D(E_F) (states/eV per atom) = 0.77
- E_form (eV/atom) = 0.2781

The structure in extended XYZ format:
```
4
Lattice="6.255 -0.001 0.001 3.200 5.375 -0.001 -4.073 -3.840 2.793" Properties=species:S:1:pos:R:3 pbc="T T T"
Ag 0.380 0.216 0.000
Ag 4.348 2.471 0.000
Ba 3.455 -0.577 1.397
Ir 1.928 2.111 1.396
```

6.
Material: Ba2Ag2Ir
Method: DFT, PBE
State: relaxed

Properties
- SG = No. 139
- uncorrected energy (eV/atom) = -3.6761
- size of the total moment (μB/f.u.) = 0.00
- D(E_F) (states/eV per atom) = 0.47
- E_form (eV/atom) = 0.0057

The structure in extended XYZ format:
```
5
Lattice="-9.616 -2.336 1.879 -9.183 3.078 2.768 8.768 0.112 -4.958" Properties=species:S:1:pos:R:3 pbc="T T T"
Ir 0.000 0.000 0.000
Ag -5.124 -0.926 -0.378
Ag -4.907 1.781 0.067
Ba -11.131 0.440 2.752
Ba -7.668 0.303 1.895
```

7.
Material: BaAg2Ir
Method: DFT, PBE
State: relaxed

Properties
- SG = No. 12
- energy above the most stable polymorph in this dataset (eV per formula unit) = 0.15
- uncorrected energy (eV/atom) = -4.0090
- size of the total moment (μB/f.u.) = 0.00
- D(E_F) (states/eV per atom) = 0.51
- E_form (eV/atom) = 0.1125

The structure in extended XYZ format:
```
4
Lattice="-0.777 -0.875 4.522 2.235 -3.514 2.116 4.574 1.946 3.592" Properties=species:S:1:pos:R:3 pbc="T T T"
Ag 3.674 -0.673 5.338
Ag 3.916 1.397 3.369
Ba 1.508 -0.611 2.558
Ir 4.523 -1.832 7.673
```

8.
Material: Ba3AgIr
Method: DFT, PBE
State: relaxed

Properties
- SG = No. 15
- energy above the most stable polymorph in this dataset (eV per formula unit) = 0.00
- uncorrected energy (eV/atom) = -3.6078
- size of the total moment (μB/f.u.) = 0.00
- D(E_F) (states/eV per atom) = 0.85
- E_form (eV/atom) = -0.1117

The structure in extended XYZ format:
```
20
Lattice="-6.665 -3.854 -3.557 5.155 -4.405 5.226 -8.633 7.624 7.917" Properties=species:S:1:pos:R:3 pbc="T T T"
Ir -1.739 1.609 6.571
Ir -3.601 1.072 1.210
Ir -11.698 2.698 3.151
Ir -0.755 -4.130 0.835
Ba -1.765 0.756 3.685
Ba -10.653 2.423 6.064
Ba -5.570 -0.946 2.514
Ba -1.941 -1.327 0.078
Ba -9.628 0.535 2.238
Ba -4.573 0.310 7.072
Ba -8.202 0.692 9.509
Ba -8.379 -1.392 5.901
Ba -6.870 4.112 7.223
Ba -0.515 -1.171 7.349
Ba 0.509 -3.059 3.523
Ba -3.273 -4.747 2.364
Ag -7.215 1.605 4.757
Ag -2.928 -2.241 4.829
Ag -5.210 2.748 9.874
Ag -4.933 -3.384 -0.287
```

9.
Material: Ba14Ag6Ir3
Method: DFT, PBE
State: relaxed

Properties
- SG = No. 143
- uncorrected energy (eV/atom) = -3.2152
- size of the total moment (μB/f.u.) = 0.00
- D(E_F) (states/eV per atom) = 0.62
- E_form (eV/atom) = -0.1452

The structure in extended XYZ format:
```
23
Lattice="8.079 0.000 0.000 0.000 10.158 -5.865 0.000 0.000 11.729" Properties=species:S:1:pos:R:3 pbc="T T T"
Ba 4.119 2.135 3.693
Ba 5.415 8.017 2.152
Ba 4.119 2.131 8.034
Ba 7.800 3.386 5.865
Ba 8.069 1.256 2.182
Ba 1.716 5.494 2.219
Ba 8.069 1.262 9.551
Ba 1.716 5.489 -2.216
Ba 3.691 0.000 0.000
Ba 5.415 8.013 -2.155
Ba 5.415 4.285 0.003
Ba 8.069 7.640 5.861
Ba 1.716 9.333 -0.003
Ba 4.119 5.892 5.867
Ag 2.202 8.684 3.299
Ag 2.202 8.673 -3.306
Ag 6.339 0.386 5.859
Ag 6.339 4.881 8.465
Ag 2.202 2.958 0.006
Ag 6.339 4.891 3.270
Ir 3.525 6.772 0.000
Ir 2.610 3.386 5.865
Ir 6.587 0.000 0.000
```

10.
Material: Ba12Ag6Ir
Method: DFT, PBE
State: relaxed

Properties
- SG = No. 148
- uncorrected energy (eV/atom) = -2.7477
- size of the total moment (μB/f.u.) = 0.00
- D(E_F) (states/eV per atom) = 0.51
- E_form (eV/atom) = -0.1666

The structure in extended XYZ format:
```
19
Lattice="-6.790 5.181 -4.668 -4.278 -8.735 -0.375 -2.324 2.401 9.142" Properties=species:S:1:pos:R:3 pbc="T T T"
Ag -4.299 -4.030 1.966
Ag -5.878 0.863 -1.815
Ag -9.093 2.877 2.133
Ag -4.121 1.935 4.226
Ag -9.271 -3.089 -0.127
Ag -7.514 -2.017 5.914
Ba -8.712 -4.428 -3.290
Ba -4.370 -1.367 4.320
Ba -5.768 -2.460 -0.556
Ba -9.022 0.214 -0.222
Ba -7.624 1.306 4.655
Ba -5.308 -3.650 8.052
Ba -5.692 2.464 1.080
Ba -4.680 3.275 7.388
Ba -8.013 6.181 1.981
Ba -5.379 -7.334 2.118
Ba -8.084 2.497 -3.953
Ba -7.700 -3.617 3.019
Ir 0.000 0.000 0.000
```

11.
Material: BaAgIr3
Method: DFT, PBE
State: relaxed

Properties
- SG = No. 221
- energy above the most stable polymorph in this dataset (eV per formula unit) = 6.39
- uncorrected energy (eV/atom) = -3.5192
- size of the total moment (μB/f.u.) = 1.55
- D(E_F) (states/eV per atom) = 1.17
- E_form (eV/atom) = 2.7522

The structure in extended XYZ format:
```
5
Lattice="-3.850 -1.806 2.864 0.708 -4.670 -1.993 3.311 -1.101 3.756" Properties=species:S:1:pos:R:3 pbc="T T T"
Ir -1.925 -0.903 1.432
Ir 0.354 -2.335 -0.997
Ir 1.655 -0.551 1.878
Ag 0.084 -3.789 2.314
Ba 0.000 0.000 0.000
```

12.
Material: BaAg2Ir
Method: DFT, PBE
State: relaxed

Properties
- SG = No. 10
- energy above the most stable polymorph in this dataset (eV per formula unit) = 1.12
- uncorrected energy (eV/atom) = -3.7666
- size of the total moment (μB/f.u.) = 0.00
- D(E_F) (states/eV per atom) = 0.94
- E_form (eV/atom) = 0.3550

The structure in extended XYZ format:
```
4
Lattice="-1.463 -4.660 -0.233 3.216 -1.021 0.238 0.780 -0.533 5.780" Properties=species:S:1:pos:R:3 pbc="T T T"
Ir 2.265 -3.496 4.398
Ag 3.708 -1.447 5.669
Ag 2.285 -0.885 3.359
Ba 0.267 -2.719 1.388
```